LiCuNi4H8 | PBE | relaxed

Lattice parameters (Å, degrees): 5.153 5.153 5.170 60.11 60.11 60.00
Sites, in units of the cell vectors:
Li 0.373 0.373 0.882
Cu 0.999 0.999 0.002
Ni 0.624 0.624 0.127
Ni 0.999 0.500 0.502
Ni 0.500 0.999 0.502
Ni 0.999 0.999 0.502
H 0.245 0.808 0.701
H 0.808 0.245 0.701
H 0.245 0.245 0.701
H 0.228 0.228 0.317
H 0.747 0.228 0.278
H 0.228 0.747 0.278
H 0.747 0.747 0.278
H 0.757 0.757 0.730

Summary:
Symmetry   R3m (160)
Crystal system   trigonal
Final energy   -4.05 eV per atom